HoGePt: single point on PBEsol structure, meta-GGA SCAN.

Output
Calculated formation energy ... -1.3773 eV/atom
Crystal system ... orthorhombic
Final energy ... -47.47 eV/atom

Cell and atoms, written as CIF:
```
data_HoGePt
_chemical_formula_sum 'Ho4 Ge4 Pt4'
_symmetry_space_group_name_H-M 'P n m a'
_symmetry_Int_Tables_number 62
_symmetry_space_group_name_Hall '-P 2ac 2n'
_cell_length_a 6.896
_cell_length_b 4.320
_cell_length_c 7.503
_cell_angle_alpha 90.00
_cell_angle_beta 90.00
_cell_angle_gamma 90.00
loop_
_atom_site_label
_atom_site_type_symbol
_atom_site_fract_x
_atom_site_fract_y
_atom_site_fract_z
Ho1 Ho 0.003 0.250 0.203
Ge1 Ge 0.189 0.250 0.588
Pt1 Pt 0.205 0.750 0.416
```

=====

Ta5Mo3: single point on PBEsol structure, meta-GGA SCAN.

Output
Calculated formation energy ... -0.1135 eV/atom
Crystal system ... orthorhombic
Offset from the most stable computed form ... 37.1 meV/atom
Final energy ... -54.81 eV/atom

Cell and atoms, written as CIF:
```
data_Ta5Mo3
_chemical_formula_sum 'Ta10 Mo6'
_symmetry_space_group_name_H-M 'I m m m'
_symmetry_Int_Tables_number 71
_symmetry_space_group_name_Hall '-I 2 2'
_cell_length_a 4.487
_cell_length_b 4.609
_cell_length_c 12.852
_cell_angle_alpha 90.00
_cell_angle_beta 90.00
_cell_angle_gamma 90.00
loop_
_atom_site_label
_atom_site_type_symbol
_atom_site_fract_x
_atom_site_fract_y
_atom_site_fract_z
Ta1 Ta 0.000 0.000 0.000
Ta2 Ta 0.000 0.000 0.248
Ta3 Ta 0.000 0.500 0.121
Mo1 Mo 0.000 0.000 0.500
Mo2 Mo 0.000 0.500 0.374
```

=====

Tc2PW: single point on PBEsol structure, meta-GGA SCAN.

Output
Calculated formation energy ... 0.1524 eV/atom
Crystal system ... orthorhombic
Final energy ... -37.40 eV/atom

Cell and atoms, written as CIF:
```
data_Tc2PW
_chemical_formula_sum 'Tc2 P1 W1'
_symmetry_space_group_name_H-M 'P m m m'
_symmetry_Int_Tables_number 47
_symmetry_space_group_name_Hall '-P 2 2'
_cell_length_a 2.966
_cell_length_b 4.248
_cell_length_c 4.383
_cell_angle_alpha 90.00
_cell_angle_beta 90.00
_cell_angle_gamma 90.00
loop_
_atom_site_label
_atom_site_type_symbol
_atom_site_fract_x
_atom_site_fract_y
_atom_site_fract_z
Tc1 Tc 0.000 0.000 0.000
Tc2 Tc 0.500 0.000 0.500
P1 P 0.000 0.500 0.500
W1 W 0.500 0.500 0.000
```

=====

SrZr2Rh: single point on PBEsol structure, meta-GGA SCAN.

Output
Calculated formation energy ... 0.0517 eV/atom
Crystal system ... trigonal
Offset from the most stable computed form ... 263.2 meV/atom
Final energy ... -29.31 eV/atom

Cell and atoms, written as CIF:
```
data_SrZr2Rh
_chemical_formula_sum 'Sr3 Zr6 Rh3'
_symmetry_space_group_name_H-M 'R 3 m'
_symmetry_Int_Tables_number 160
_symmetry_space_group_name_Hall 'R 3 -2"'
_cell_length_a 3.3424
_cell_length_b 3.3424
_cell_length_c 28.9379
_cell_angle_alpha 90.00
_cell_angle_beta 90.00
_cell_angle_gamma 120.00
loop_
_atom_site_label
_atom_site_type_symbol
_atom_site_fract_x
_atom_site_fract_y
_atom_site_fract_z
Sr1 Sr 0.0000 0.0000 0.0000
Zr1 Zr 0.0000 0.0000 0.5255
Zr2 Zr 0.0000 0.0000 0.7737
Rh1 Rh 0.0000 0.0000 0.2529
```

=====

ZnSn2Bi2: single point on PBEsol structure, meta-GGA SCAN.

Output
Calculated formation energy ... 0.3334 eV/atom
Crystal system ... tetragonal
Final energy ... -48.17 eV/atom

Cell and atoms, written as CIF:
```
data_ZnSn2Bi2
_chemical_formula_sum 'Zn2 Sn4 Bi4'
_symmetry_space_group_name_H-M 'I 4/m m m'
_symmetry_Int_Tables_number 139
_symmetry_space_group_name_Hall '-I 4 2'
_cell_length_a 4.059
_cell_length_b 4.059
_cell_length_c 17.131
_cell_angle_alpha 90.00
_cell_angle_beta 90.00
_cell_angle_gamma 90.00
loop_
_atom_site_label
_atom_site_type_symbol
_atom_site_fract_x
_atom_site_fract_y
_atom_site_fract_z
Zn1 Zn 0.000 0.000 0.000
Sn1 Sn 0.000 0.500 0.250
Bi1 Bi 0.000 0.000 0.410
```

=====

CdHgIO2: single point on PBEsol structure, meta-GGA SCAN.

Output
Crystal system ... tetragonal
Final energy ... -29.49 eV/atom

Cell and atoms, written as CIF:
```
data_CdHgIO2
_chemical_formula_sum 'Cd1 Hg1 I1 O2'
_symmetry_space_group_name_H-M 'P 4/m m m'
_symmetry_Int_Tables_number 123
_symmetry_space_group_name_Hall '-P 4 2'
_cell_length_a 4.170
_cell_length_b 4.170
_cell_length_c 6.379
_cell_angle_alpha 90.00
_cell_angle_beta 90.00
_cell_angle_gamma 90.00
loop_
_atom_site_label
_atom_site_type_symbol
_atom_site_fract_x
_atom_site_fract_y
_atom_site_fract_z
Cd1 Cd 0.000 0.000 0.000
Hg1 Hg 0.500 0.500 0.500
I1 I 0.000 0.000 0.500
O1 O 0.000 0.500 0.000
```